Record 1
K2HfScCu after structural relaxation. Source: the Alexandria database, functional GGA-PBE.

Calculated values
- Space-group type: P4/mmm (123)
- DFT formation energy: 1.1272 eV per atom
- Magnetization: 1.678 μB per cell
- DOS at the Fermi energy: 1.533 states/eV per atom
- Energy above the lowest structure with this stoichiometry: 0 meV/atom

abc: 5.755 5.250 5.755
angles: 90.00 90.00 90.00
Site moments in Bohr magnetons follow the coordinates.
Element x y z (fractional)
K  0.000  0.000  0.500  0.01
K  0.500  0.000  0.000  0.01
Hf  0.000  0.500  0.000  0.39
Cu  0.000  0.000  0.000  0.00
Sc  0.500  0.500  0.500  0.58

***

Record 2
Tl5Cd2Pb after structural relaxation. Source: the Alexandria database, functional GGA-PBE.

Calculated values
- Space-group type: Pbam (55)
- DFT formation energy: 0.0493 eV per atom
- Magnetization: 0.000 μB per cell
- DOS at the Fermi energy: 0.417 states/eV per atom

abc: 4.718 7.462 13.366
angles: 90.00 90.00 90.00
Element x y z (fractional)
Cd  0.500  0.291  0.126
Cd  0.500  0.209  0.626
Cd  0.500  0.791  0.374
Cd  0.500  0.709  0.874
Tl  0.000  0.556  0.255
Tl  0.000  0.444  0.745
Tl  0.000  0.056  0.245
Tl  0.000  0.500  0.500
Tl  0.500  0.733  0.621
Tl  0.500  0.267  0.379
Tl  0.000  0.944  0.755
Tl  0.500  0.233  0.879
Tl  0.000  0.000  0.000
Tl  0.500  0.767  0.121
Pb  0.000  0.500  0.000
Pb  0.000  0.000  0.500

***

Record 3
TaCuTcO6 after structural relaxation. Source: the Alexandria database, functional GGA-PBE.

Calculated values
- E_form (uncorrected): -14.76 eV per formula unit
- Space-group type: P-31c (163)
- Magnetization: 2.028 μB per cell
- DOS at the Fermi energy: 0.379 states/eV per atom

abc: 5.121 5.121 9.052
angles: 90.00 90.00 120.00
Site moments in Bohr magnetons follow the coordinates.
Element x y z (fractional)
Ta  0.333  0.667  0.750  0.02
Ta  0.667  0.333  0.250  0.02
O  0.351  0.346  0.869  0.02
O  0.005  0.351  0.131  0.02
O  0.995  0.649  0.869  0.02
O  0.654  0.649  0.631  0.02
O  0.649  0.654  0.131  0.02
O  0.995  0.346  0.631  0.02
O  0.654  0.005  0.869  0.02
O  0.005  0.654  0.369  0.02
O  0.346  0.351  0.369  0.02
O  0.351  0.005  0.631  0.02
O  0.346  0.995  0.131  0.02
O  0.649  0.995  0.369  0.02
Tc  0.667  0.333  0.750  1.03
Tc  0.333  0.667  0.250  1.03
Cu  0.000  0.000  0.000  -0.25
Cu  0.000  0.000  0.500  -0.25

***

Record 4
Pm8Te3PIr3 after structural relaxation. Source: the Alexandria database, functional GGA-PBE.

Calculated values
- E_form (uncorrected): -15.16 eV per formula unit
- Space-group type: R-3m (166)
- Magnetization: 0.000 μB per cell
- DOS at the Fermi energy: 0.690 states/eV per atom

abc: 8.461 8.462 8.785
angles: 118.82 90.00 119.98
Element x y z (fractional)
Pm  0.763  0.525  0.292
Pm  0.263  0.526  0.289
Pm  0.237  0.475  0.708
Pm  0.237  0.970  0.708
Pm  0.763  0.030  0.292
Pm  0.737  0.474  0.711
Pm  0.733  0.970  0.708
Pm  0.267  0.030  0.292
Te  0.000  0.500  0.000
Te  0.500  0.500  0.000
Te  0.000  0.000  0.000
Ir  0.500  0.000  0.500
Ir  0.000  0.500  0.500
Ir  0.500  0.500  0.500
P  0.000  0.000  0.500

***

- Which value of DOS at the Fermi energy does entry 1 give?
  1.533 states/eV per atom

***

- Number 4 is which compound?
  Pm8Te3PIr3

***

Please write out number 1 again, unchanged.
K2HfScCu after structural relaxation. Source: the Alexandria database, functional GGA-PBE.

Calculated values
- Space-group type: P4/mmm (123)
- DFT formation energy: 1.1272 eV per atom
- Magnetization: 1.678 μB per cell
- DOS at the Fermi energy: 1.533 states/eV per atom
- Energy above the lowest structure with this stoichiometry: 0 meV/atom

abc: 5.755 5.250 5.755
angles: 90.00 90.00 90.00
Site moments in Bohr magnetons follow the coordinates.
Element x y z (fractional)
K  0.000  0.000  0.500  0.01
K  0.500  0.000  0.000  0.01
Hf  0.000  0.500  0.000  0.39
Cu  0.000  0.000  0.000  0.00
Sc  0.500  0.500  0.500  0.58